A geometry-optimized Fe2ClOF structure, computed with PBE+U.

Properties
Total magnetization   32.040 Bohr magnetons per cell
Total energy   -110.22 eV per cell

```
data_Fe2ClOF
_chemical_formula_sum 'Fe8 Cl4 O4 F4'
_symmetry_space_group_name_H-M 'C 1 2/m 1'
_symmetry_Int_Tables_number 12
_cell_length_a 11.8908
_cell_length_b 3.4035
_cell_length_c 9.1616
_cell_angle_alpha 90.00
_cell_angle_beta 123.14
_cell_angle_gamma 90.00
loop_
_symmetry_equiv_pos_as_xyz
'x,y,z'
'-x,-y,-z'
'-x,y,-z'
'x,-y,z'
'x+1/2,y+1/2,z'
'-x+1/2,-y+1/2,-z'
'-x+1/2,y+1/2,-z'
'x+1/2,-y+1/2,z'
loop_
_atom_site_label
_atom_site_fract_x
_atom_site_fract_y
_atom_site_fract_z
_atom_site_occupancy
Fe1 0.1007 0.0000 0.3237 1
Fe2 0.1384 0.5000 0.0291 1
Cl1 0.1549 0.5000 0.5632 1
O1 0.0589 0.5000 0.1749 1
F1 0.1614 0.0000 0.8814 1
```